RbY2MgOs | meta-GGA SCAN | single point on PBEsol structure

Values from the calculation:
SG = P4/mmm
E = -29.5228 eV/atom

Geometry as extended XYZ:
```
5
Lattice="5.612 0.000 0.000 0.000 5.612 0.000 0.000 0.000 4.746" Properties=species:S:1:pos:R:3 pbc="T T T"
Rb 0.000 0.000 0.000
Y 0.000 2.806 2.373
Y 2.806 0.000 2.373
Mg 2.806 2.806 2.373
Os 2.806 2.806 0.000
```

***

RbLaCdIr2 | meta-GGA SCAN | single point on PBEsol structure

Values from the calculation:
SG = P4/mmm
E = -46.3290 eV/atom

Geometry as extended XYZ:
```
5
Lattice="5.046 0.000 0.000 0.000 5.046 0.000 0.000 0.000 6.159" Properties=species:S:1:pos:R:3 pbc="T T T"
Rb 0.000 0.000 0.000
La 2.523 2.523 3.080
Cd 2.523 2.523 0.000
Ir 0.000 2.523 3.080
Ir 2.523 0.000 3.080
```